The following is a PBE-GGA calculation of an optimized crystal structure of Dy8Zn2Ag, from Alexandria via LeMat-Bulk.

Cell: 5.0847 6.9240 9.2429 Å, 106.00 105.97 90.00°
With the nearest neighbours (Å) after each atom.
Positions (direct):
Dy 0.4080 0.5391 0.8160  1 Ag 3.14, 2 Zn 3.28, 6 Dy 3.40-3.48
Dy 0.9714 0.2286 0.9428  1 Zn 2.92, 2 Ag 3.11
Dy 0.6676 0.9707 0.3352  3 Zn 2.86-3.15, 1 Ag 3.04
Zn 0.1861 0.7196 0.3721  5 Dy 2.86-3.15
Dy 0.1982 0.3166 0.3963  1 Zn 2.86
Dy 0.5920 0.4609 0.1840  1 Ag 3.14, 2 Zn 3.28, 6 Dy 3.40-3.48
Dy 0.0286 0.7714 0.0572  1 Zn 2.92, 2 Ag 3.11
Dy 0.3324 0.0293 0.6648  3 Zn 2.86-3.15, 1 Ag 3.04
Ag 0.5000 0.0000 0.0000  8 Dy 3.04-3.14
Zn 0.8139 0.2804 0.6279  5 Dy 2.86-3.15
Dy 0.8018 0.6834 0.6037  1 Zn 2.86

Properties
energy of formation: -0.13 eV/atom
symmetry: C2/m, No. 12